[1]
BeH2Pb (PBE-GGA, optimized geometry); M_tot = 0.00 μB per formula unit; ΔE to the lowest computed polymorph = 0.000 eV/atom
1.0
5.648 0.000 0.000
0.000 5.648 0.000
0.000 0.000 6.141
Be H Pb
4 8 4
Direct
0.000 0.250 0.375
0.000 0.750 0.625
0.500 0.250 0.125
0.500 0.750 0.875
0.000 0.000 0.500
0.000 0.500 0.500
0.250 0.250 0.250
0.250 0.750 0.750
0.500 0.000 0.000
0.500 0.500 0.000
0.750 0.250 0.250
0.750 0.750 0.750
0.000 0.250 0.875
0.000 0.750 0.125
0.500 0.250 0.625
0.500 0.750 0.375



[2]
BaSr3Sb (PBE-GGA, optimized geometry); energy relative to the elements, uncorrected = -0.3582 eV/atom; M_tot = 1.00 μB per formula unit; ΔE to the lowest computed polymorph = 0.000 eV/atom
1.0
6.487 0.000 0.000
0.000 6.487 0.000
0.000 0.000 6.487
Ba Sr Sb
1 3 1
Direct
0.000 0.000 0.000
0.000 0.500 0.500
0.500 0.000 0.500
0.500 0.500 0.000
0.500 0.500 0.500



[3]
BaTm2Se4 (PBE-GGA, optimized geometry); energy relative to the elements, uncorrected = -1.9397 eV/atom; M_tot = 0.00 μB per formula unit; ΔE to the lowest computed polymorph = 0.029 eV/atom
1.0
2.089 -6.796 0.000
2.089 6.796 0.000
0.000 0.000 14.182
Ba Tm Se
2 4 8
Direct
0.110 0.890 0.750
0.890 0.110 0.250
0.365 0.635 0.566
0.365 0.635 0.934
0.635 0.365 0.066
0.635 0.365 0.434
0.000 0.000 0.000
0.000 0.000 0.500
0.267 0.733 0.110
0.267 0.733 0.390
0.431 0.569 0.750
0.569 0.431 0.250
0.733 0.267 0.610
0.733 0.267 0.890



[4]
YSc2 (PBE-GGA, optimized geometry); M_tot = 0.00 μB per formula unit; ΔH_f (0 K) = 1.06 eV/f.u.; ΔE to the lowest computed polymorph = 0.330 eV/atom
1.0
7.003 0.000 0.000
0.000 7.003 0.000
0.000 0.000 6.629
Y Sc
4 8
Direct
0.000 0.000 0.250
0.000 0.000 0.750
0.500 0.500 0.250
0.500 0.500 0.750
0.153 0.347 0.000
0.153 0.653 0.500
0.347 0.153 0.500
0.347 0.847 0.000
0.653 0.153 0.000
0.653 0.847 0.500
0.847 0.347 0.500
0.847 0.653 0.000



Q: Which value of M_tot does entry 4 give?
A: 0.00 μB per formula unit